(1)
A plane-wave DFT calculation with PBE-GGA was carried out for crystalline Tb2ScAu3 at its relaxed geometry.

The calculation puts the total magnetization at 0.00 μB per formula unit. The calculated formation energy comes out at -0.814 eV/atom. For the density of states at the Fermi level, the calculation gives 7.4 states/eV per cell. As for the density: 11.76 g/cm3.

It has space group P-3m1 (No. 164), with a = 5.0190 Å, b = 5.0190 Å, c = 12.3424 Å, α = 90.00°, β = 90.00° and γ = 120.00°. The asymmetric unit holds Tb at (0.0000, 0.0000, 0.0000), Tb at (0.0000, 0.0000, 0.5000), Tb at (0.3333, 0.6667, 0.1725), Sc at (0.3333, 0.6667, 0.6644), Au at (0.0000, 0.0000, 0.2557), Au at (0.3333, 0.6667, 0.4197) and Au at (0.3333, 0.6667, 0.9086).

(2)
A plane-wave DFT calculation with PBE-GGA was carried out for crystalline TbSc2Au at its relaxed geometry.

The calculation puts the total magnetization at 0.12 μB per formula unit. The calculated formation energy comes out at -0.234 eV/atom. For the density of states at the Fermi level, the calculation gives 17.2 states/eV per cell. As for the density: 7.29 g/cm3.

It has space group R3m (No. 160, hexagonal axes), with a = 3.5274 Å, b = 3.5274 Å, c = 28.2767 Å, α = 90.00°, β = 90.00° and γ = 120.00°. The asymmetric unit holds Tb at (0.0000, 0.0000, 0.0000), Sc at (0.0000, 0.0000, 0.2377), Sc at (0.0000, 0.0000, 0.4323) and Au at (0.0000, 0.0000, 0.8357).